A | A relaxed structure of ReAgW2, computed with PBE. Values from VASP.

```
&SYSTEM
  ibrav = 0, nat = 4, ntyp = 3
/
ATOMIC_SPECIES
Ag 107.87 Ag.upf
W 183.84 W.upf
Re 186.21 Re.upf
ATOMIC_POSITIONS angstrom
Ag 4.877 1.458 2.450
W 7.284 2.178 3.633
W 9.021 2.698 -0.117
Re 2.446 0.731 1.197
CELL_PARAMETERS angstrom
4.898 0.047 -0.075
4.120 2.650 -0.075
0.722 0.216 5.027
```

* N(E_F): 3.04 states/eV per cell
* calculated volume: 64.43 Å³ per cell
* crystal system: monoclinic

***

B | A relaxed structure of ReAgW2, computed with PBE. Values from VASP.

```
&SYSTEM
  ibrav = 0, nat = 4, ntyp = 3
/
ATOMIC_SPECIES
W 183.84 W.upf
Ag 107.87 Ag.upf
Re 186.21 Re.upf
ATOMIC_POSITIONS angstrom
W 0.000 0.000 5.659
W 1.449 1.973 1.322
Ag 0.000 0.000 2.859
Re 1.449 1.973 4.456
CELL_PARAMETERS angstrom
2.899 0.000 0.000
0.000 3.946 0.000
0.000 0.000 5.718
```

* N(E_F): 2.75 states/eV per cell
* calculated volume: 65.41 Å³ per cell
* crystal system: orthorhombic

***

C | A relaxed structure of ReAgW2, computed with PBE. Values from VASP.

```
&SYSTEM
  ibrav = 0, nat = 4, ntyp = 3
/
ATOMIC_SPECIES
W 183.84 W.upf
Re 186.21 Re.upf
Ag 107.87 Ag.upf
ATOMIC_POSITIONS angstrom
W 7.240 1.037 0.607
Re 21.516 3.083 1.804
Ag 14.370 2.059 1.205
W 0.056 0.008 0.005
CELL_PARAMETERS angstrom
9.859 0.006 0.003
9.464 2.763 0.003
9.464 1.356 2.407
```

* N(E_F): 5.29 states/eV per cell
* calculated volume: 65.33 Å³ per cell
* crystal system: trigonal

***

Stability comparison, relative energies in kJ/mol of atoms: A 5.4; B 4.2; C 0.0

***

A | A relaxed structure of YRe2Ag, computed with PBE. Values from VASP.

```
&SYSTEM
  ibrav = 0, nat = 4, ntyp = 3
/
ATOMIC_SPECIES
Re 186.21 Re.upf
Y 88.91 Y.upf
Ag 107.87 Ag.upf
ATOMIC_POSITIONS angstrom
Re 0.000 0.000 5.786
Re 0.000 0.000 3.263
Y 1.333 2.308 1.508
Ag 1.333 2.308 4.524
CELL_PARAMETERS angstrom
2.666 0.000 0.000
0.000 4.616 0.000
0.000 0.000 6.032
```

* N(E_F): 3.21 states/eV per cell
* calculated volume: 74.24 Å³ per cell
* crystal system: orthorhombic

***

B | A relaxed structure of YRe2Ag, computed with PBE. Values from VASP.

```
&SYSTEM
  ibrav = 0, nat = 4, ntyp = 3
/
ATOMIC_SPECIES
Ag 107.87 Ag.upf
Y 88.91 Y.upf
Re 186.21 Re.upf
ATOMIC_POSITIONS angstrom
Ag -1.455 -1.033 -2.518
Y -4.364 -3.100 -7.553
Re -2.938 -2.043 -5.154
Re -3.346 0.076 -9.696
CELL_PARAMETERS angstrom
-2.896 0.722 -4.485
-0.479 -0.622 -5.330
-2.443 -4.233 -0.256
```

* N(E_F): 3.19 states/eV per cell
* calculated volume: 71.93 Å³ per cell
* crystal system: monoclinic

***

C | A relaxed structure of YRe2Ag, computed with PBE. Values from VASP.

```
&SYSTEM
  ibrav = 0, nat = 4, ntyp = 3
/
ATOMIC_SPECIES
Re 186.21 Re.upf
Y 88.91 Y.upf
Ag 107.87 Ag.upf
ATOMIC_POSITIONS angstrom
Re 0.000 0.000 0.235
Y 0.000 0.000 3.730
Re 1.561 1.561 1.591
Ag 1.561 1.561 6.014
CELL_PARAMETERS angstrom
3.122 0.000 0.000
0.000 3.122 0.000
0.000 0.000 7.714
```

* N(E_F): 2.61 states/eV per cell
* calculated volume: 75.17 Å³ per cell
* crystal system: tetragonal

***

Stability comparison, relative energies in kJ/mol of atoms: A 48.4; B 38.6; C 0.0

***

A | A relaxed structure of YRe2Ag, computed with PBE. Values from VASP.

```
&SYSTEM
  ibrav = 0, nat = 4, ntyp = 3
/
ATOMIC_SPECIES
Ag 107.87 Ag.upf
Re 186.21 Re.upf
Y 88.91 Y.upf
ATOMIC_POSITIONS angstrom
Ag 1.382 1.382 7.009
Re 0.000 0.000 4.801
Re 0.000 0.000 9.217
Y 1.382 1.382 2.336
CELL_PARAMETERS angstrom
2.763 0.000 0.000
0.000 2.763 0.000
0.000 0.000 9.346
```

* N(E_F): 4.29 states/eV per cell
* calculated volume: 71.36 Å³ per cell
* crystal system: tetragonal

***

B | A relaxed structure of YRe2Ag, computed with PBE. Values from VASP.

```
&SYSTEM
  ibrav = 0, nat = 4, ntyp = 3
/
ATOMIC_SPECIES
Re 186.21 Re.upf
Ag 107.87 Ag.upf
Y 88.91 Y.upf
ATOMIC_POSITIONS angstrom
Re 28.951 4.305 2.522
Ag 21.672 3.222 1.888
Re 7.539 1.121 0.657
Y 14.635 2.176 1.275
CELL_PARAMETERS angstrom
9.992 0.013 0.008
9.563 2.894 0.008
9.563 1.422 2.521
```

* N(E_F): 3.33 states/eV per cell
* calculated volume: 72.34 Å³ per cell
* crystal system: trigonal

***

C | A relaxed structure of YRe2Ag, computed with PBE. Values from VASP.

```
&SYSTEM
  ibrav = 0, nat = 4, ntyp = 3
/
ATOMIC_SPECIES
Y 88.91 Y.upf
Ag 107.87 Ag.upf
Re 186.21 Re.upf
ATOMIC_POSITIONS angstrom
Y 7.536 1.027 0.600
Ag 22.607 3.080 1.800
Re 14.941 2.036 1.190
Re 0.130 0.018 0.010
CELL_PARAMETERS angstrom
10.304 -0.032 -0.019
9.919 2.787 -0.019
9.919 1.352 2.438
```

* N(E_F): 6.65 states/eV per cell
* calculated volume: 71.33 Å³ per cell
* crystal system: trigonal

***

Stability comparison, relative energies in kJ/mol of atoms: A 26.1; B 0.0; C 33.7

***

A | A relaxed structure of YRe2Ag, computed with PBE. Values from VASP.

```
&SYSTEM
  ibrav = 0, nat = 4, ntyp = 3
/
ATOMIC_SPECIES
Re 186.21 Re.upf
Ag 107.87 Ag.upf
Y 88.91 Y.upf
ATOMIC_POSITIONS angstrom
Re 0.000 0.204 0.268
Re 2.083 1.176 1.255
Ag 2.083 3.877 4.688
Y 0.000 2.420 3.034
CELL_PARAMETERS angstrom
4.166 0.000 0.000
0.000 2.966 0.048
0.000 2.152 6.116
```

* N(E_F): 3.30 states/eV per cell
* calculated volume: 75.14 Å³ per cell
* crystal system: monoclinic

***

B | A relaxed structure of YRe2Ag, computed with PBE. Values from VASP.

```
&SYSTEM
  ibrav = 0, nat = 4, ntyp = 3
/
ATOMIC_SPECIES
Y 88.91 Y.upf
Re 186.21 Re.upf
Ag 107.87 Ag.upf
ATOMIC_POSITIONS angstrom
Y 7.002 4.043 2.859
Re 0.000 0.000 0.000
Ag 4.668 2.695 1.906
Re 2.334 1.348 0.953
CELL_PARAMETERS angstrom
4.668 0.000 0.000
2.334 4.043 0.000
2.334 1.348 3.812
```

* N(E_F): 2.17 states/eV per cell
* calculated volume: 71.94 Å³ per cell
* crystal system: cubic

***

C | A relaxed structure of YRe2Ag, computed with PBE. Values from VASP.

```
&SYSTEM
  ibrav = 0, nat = 4, ntyp = 3
/
ATOMIC_SPECIES
Y 88.91 Y.upf
Ag 107.87 Ag.upf
Re 186.21 Re.upf
ATOMIC_POSITIONS angstrom
Y -1.912 1.148 1.907
Ag -1.145 1.587 4.782
Re 0.708 0.242 2.979
Re -0.321 -1.792 1.967
CELL_PARAMETERS angstrom
-4.590 1.855 0.941
-0.380 -1.990 2.072
1.913 2.870 3.676
```

* N(E_F): 3.37 states/eV per cell
* calculated volume: 73.39 Å³ per cell
* crystal system: monoclinic

***

D | A relaxed structure of YRe2Ag, computed with PBE. Values from VASP.

```
&SYSTEM
  ibrav = 0, nat = 4, ntyp = 3
/
ATOMIC_SPECIES
Ag 107.87 Ag.upf
Re 186.21 Re.upf
Y 88.91 Y.upf
ATOMIC_POSITIONS angstrom
Ag -2.034 0.715 2.210
Re -4.269 -1.337 1.635
Y -1.268 -1.951 2.030
Re 0.000 0.000 0.000
CELL_PARAMETERS angstrom
-5.035 1.330 1.815
-3.503 -4.004 1.454
5.235 1.438 0.971
```

* N(E_F): 3.16 states/eV per cell
* calculated volume: 73.64 Å³ per cell
* crystal system: tetragonal

***

Stability comparison, relative energies in kJ/mol of atoms: A 0.0; B 11.1; C 18.6; D 25.7

***

A | A relaxed structure of YRe3Ag, computed with PBE. Values from VASP.

```
&SYSTEM
  ibrav = 0, nat = 5, ntyp = 3
/
ATOMIC_SPECIES
Re 186.21 Re.upf
Y 88.91 Y.upf
Ag 107.87 Ag.upf
ATOMIC_POSITIONS angstrom
Re 0.000 0.000 2.415
Y 0.000 0.000 0.000
Re 0.000 2.415 0.000
Ag 2.415 2.415 2.415
Re 2.415 0.000 0.000
CELL_PARAMETERS angstrom
4.831 0.000 0.000
0.000 4.831 0.000
0.000 0.000 4.831
```

* N(E_F): 10.88 states/eV per cell
* calculated volume: 112.74 Å³ per cell
* crystal system: cubic

***

B | A relaxed structure of YRe3Ag, computed with PBE. Values from VASP.

```
&SYSTEM
  ibrav = 0, nat = 5, ntyp = 3
/
ATOMIC_SPECIES
Re 186.21 Re.upf
Ag 107.87 Ag.upf
Y 88.91 Y.upf
ATOMIC_POSITIONS angstrom
Re 2.405 0.000 0.000
Re 0.000 2.405 0.000
Ag 0.000 0.000 0.000
Re 0.000 0.000 2.405
Y 2.405 2.405 2.405
CELL_PARAMETERS angstrom
4.810 0.000 0.000
0.000 4.810 0.000
0.000 0.000 4.810
```

* N(E_F): 10.00 states/eV per cell
* calculated volume: 111.29 Å³ per cell
* crystal system: cubic

***

Stability comparison, relative energies in kJ/mol of atoms: A 74.7; B 0.0

***

A | A relaxed structure of Zr2ReAg, computed with PBE. Values from VASP.

```
&SYSTEM
  ibrav = 0, nat = 8, ntyp = 3
/
ATOMIC_SPECIES
Ag 107.87 Ag.upf
Zr 91.22 Zr.upf
Re 186.21 Re.upf
ATOMIC_POSITIONS angstrom
Ag 3.740 3.740 0.000
Zr 5.730 1.870 0.729
Ag 3.740 7.479 1.458
Zr 9.349 9.469 2.187
Zr 1.750 5.610 0.729
Re 0.000 0.000 0.000
Re 7.479 3.740 1.458
Zr 5.610 5.490 2.187
CELL_PARAMETERS angstrom
7.479 0.000 0.000
0.000 7.479 0.000
3.740 3.740 2.916
```

* N(E_F): 5.67 states/eV per cell
* calculated volume: 163.12 Å³ per cell
* crystal system: tetragonal

***

B | A relaxed structure of Zr2ReAg, computed with PBE. Values from VASP.

```
&SYSTEM
  ibrav = 0, nat = 4, ntyp = 3
/
ATOMIC_SPECIES
Re 186.21 Re.upf
Zr 91.22 Zr.upf
Ag 107.87 Ag.upf
ATOMIC_POSITIONS angstrom
Re -4.051 -6.411 -0.127
Zr -6.262 -7.126 1.267
Ag -3.306 -3.762 0.669
Zr -0.858 -2.777 -0.773
CELL_PARAMETERS angstrom
-0.592 0.015 -2.841
2.183 -1.807 0.627
-6.427 -7.314 1.301
```

* N(E_F): 3.92 states/eV per cell
* calculated volume: 76.92 Å³ per cell
* crystal system: orthorhombic

***

Stability comparison, relative energies in kJ/mol of atoms: A 17.6; B 0.0

***

A | A relaxed structure of Zr2ReAg, computed with PBE. Values from VASP.

```
&SYSTEM
  ibrav = 0, nat = 4, ntyp = 3
/
ATOMIC_SPECIES
Zr 91.22 Zr.upf
Ag 107.87 Ag.upf
Re 186.21 Re.upf
ATOMIC_POSITIONS angstrom
Zr -1.561 -2.297 0.824
Zr 0.000 0.000 0.000
Ag -3.122 -4.593 1.648
Re -4.683 -6.890 2.472
CELL_PARAMETERS angstrom
-3.068 -3.301 -1.437
0.212 -4.369 1.800
-3.388 -1.516 2.932
```

* N(E_F): 5.47 states/eV per cell
* calculated volume: 74.83 Å³ per cell
* crystal system: cubic

***

B | A relaxed structure of Zr2ReAg, computed with PBE. Values from VASP.

```
&SYSTEM
  ibrav = 0, nat = 4, ntyp = 3
/
ATOMIC_SPECIES
Ag 107.87 Ag.upf
Zr 91.22 Zr.upf
Re 186.21 Re.upf
ATOMIC_POSITIONS angstrom
Ag 0.000 0.000 0.000
Zr 1.684 1.684 1.684
Re 3.367 3.367 3.367
Zr 5.051 5.051 5.051
CELL_PARAMETERS angstrom
0.000 3.367 3.367
3.367 0.000 3.367
3.367 3.367 0.000
```

* N(E_F): 3.21 states/eV per cell
* calculated volume: 76.35 Å³ per cell
* crystal system: cubic

***

Stability comparison, relative energies in kJ/mol of atoms: A 37.6; B 0.0

***

A | A relaxed structure of Zr2ReAg2, computed with PBE. Values from VASP.

```
&SYSTEM
  ibrav = 0, nat = 5, ntyp = 3
/
ATOMIC_SPECIES
Ag 107.87 Ag.upf
Re 186.21 Re.upf
Zr 91.22 Zr.upf
ATOMIC_POSITIONS angstrom
Ag -1.730 -2.184 1.202
Ag -4.449 -3.763 5.016
Re 0.000 0.000 0.000
Zr -4.215 -2.392 2.548
Zr -1.964 -3.556 3.671
CELL_PARAMETERS angstrom
-3.554 -1.281 -1.049
0.949 -3.611 1.197
-3.574 -1.056 6.071
```

* N(E_F): 6.49 states/eV per cell
* calculated volume: 100.85 Å³ per cell
* crystal system: tetragonal

***

B | A relaxed structure of Zr2ReAg2, computed with PBE. Values from VASP.

```
&SYSTEM
  ibrav = 0, nat = 10, ntyp = 3
/
ATOMIC_SPECIES
Re 186.21 Re.upf
Ag 107.87 Ag.upf
Zr 91.22 Zr.upf
ATOMIC_POSITIONS angstrom
Re 0.000 0.000 0.000
Ag -2.196 -1.508 -1.252
Zr -3.249 -4.195 -1.586
Zr -2.122 -2.014 1.376
Zr -5.640 -2.279 2.911
Ag -4.223 -0.149 2.121
Zr -6.768 -4.461 -0.051
Re -4.932 -1.805 -0.207
Ag -7.668 -2.101 0.838
Ag -5.642 -3.460 -2.536
CELL_PARAMETERS angstrom
-6.002 0.595 4.345
-3.863 -4.204 -4.760
0.975 -2.866 1.740
```

* N(E_F): 11.59 states/eV per cell
* calculated volume: 192.93 Å³ per cell
* crystal system: tetragonal

***

Stability comparison, relative energies in kJ/mol of atoms: A 67.0; B 0.0